[1]
Crystalline KTlF4 at its relaxed geometry. Source: Alexandria, functional PBEsol.

The structure belongs to space group P3_1 (No. 144); the cell edges are 8.0627, 8.0627 and 10.1734 Å and the angles 90.00°, 90.00° and 120.00°. Symmetry generates all atoms from K at (0.0112, 0.8338, 0.0000), K at (0.5005, 0.3505, 0.0246), Tl at (0.1531, 0.6602, 0.3499), Tl at (0.3413, 0.0312, 0.6812), F at (0.0042, 0.3892, 0.2394), F at (0.0535, 0.8625, 0.7407), F at (0.0745, 0.3453, 0.8007), F at (0.1271, 0.4898, 0.5390), F at (0.2112, 0.6110, 0.0224), F at (0.2157, 0.2042, 0.5855), F at (0.4636, 0.3216, 0.7724) and F at (0.5334, 0.3738, 0.2785).

For the total energy, the calculation gives -4.133 eV per atom. The calculation puts the volume at 573 Å³ per cell. As for the formation energy without anion corrections: -2221 meV per atom.

=====

[2]
Crystalline K2TmF5 at its relaxed geometry. Source: Alexandria, functional PBEsol.

The structure belongs to space group Pnma (No. 62); the cell edges are 10.675, 7.092 and 6.525 Å and the angles 90.00°, 90.00° and 90.00°. Symmetry generates all atoms from K at (0.171, 0.003, 0.036), Tm at (0.003, 0.250, 0.563), F at (0.013, 0.250, 0.891), F at (0.075, 0.536, 0.647), F at (0.166, 0.250, 0.373) and F at (0.190, 0.750, 0.340).

For the total energy, the calculation gives -5.647 eV per atom. The calculation puts the volume at 494 Å³ per cell. As for the formation energy without anion corrections: -3546 meV per atom.

=====

[3]
Crystalline K2UF6 at its relaxed geometry. Source: Alexandria, functional PBEsol.

The structure belongs to space group Immm (No. 71); the cell edges are 4.092, 6.069 and 12.213 Å and the angles 90.00°, 90.00° and 90.00°. Symmetry generates all atoms from K at (0.000, 0.000, 0.167), U at (0.000, 0.000, 0.500), F at (0.000, 0.226, 0.359) and F at (0.000, 0.300, 0.000).

For the total energy, the calculation gives -6.189 eV per atom. The calculation puts the volume at 303 Å³ per cell. As for the formation energy without anion corrections: -3301 meV per atom.

=====

[4]
Crystalline K2UF6 at its relaxed geometry. Source: Alexandria, functional PBEsol.

The structure belongs to space group P-62m (No. 189); the cell edges are 6.5335, 6.5335 and 3.6733 Å and the angles 90.00°, 90.00° and 120.00°. Symmetry generates all atoms from K at (0.3333, 0.6667, 0.0000), U at (0.0000, 0.0000, 0.5000), F at (0.0000, 0.3440, 0.5000) and F at (0.0000, 0.7717, 0.0000).

For the total energy, the calculation gives -6.169 eV per atom. The calculation puts the volume at 136 Å³ per cell. As for the formation energy without anion corrections: -3281 meV per atom.

=====

[5]
Crystalline KVF3 at its relaxed geometry. Source: Alexandria, functional PBEsol.

The structure belongs to space group Pm-3m (No. 221); the cell edges are 4.105, 4.105 and 4.105 Å and the angles 90.00°, 90.00° and 90.00°. Symmetry generates all atoms from K at (0.000, 0.000, 0.000), V at (0.500, 0.500, 0.500) and F at (0.000, 0.500, 0.500).

For the total energy, the calculation gives -5.909 eV per atom. The calculation puts the volume at 69 Å³ per cell. As for the formation energy without anion corrections: -2599 meV per atom.

=====

[6]
Crystalline K3VF6 at its relaxed geometry. Source: Alexandria, functional PBEsol.

The structure belongs to space group Fm-3m (No. 225); the cell edges are 8.759, 8.759 and 8.759 Å and the angles 90.00°, 90.00° and 90.00°. Symmetry generates all atoms from K at (0.000, 0.000, 0.000), K at (0.250, 0.250, 0.250), V at (0.000, 0.000, 0.500) and F at (0.000, 0.000, 0.280).

For the total energy, the calculation gives -5.313 eV per atom. The calculation puts the volume at 672 Å³ per cell. As for the formation energy without anion corrections: -2853 meV per atom.

=====

[7]
Crystalline KZrVF7 at its relaxed geometry. Source: Alexandria, functional PBEsol.

The structure belongs to space group Pnna (No. 52); the cell edges are 11.048, 7.848 and 6.441 Å and the angles 90.00°, 90.00° and 90.00°. Symmetry generates all atoms from K at (0.250, 0.000, 0.232), Zr at (0.093, 0.250, 0.750), V at (0.097, 0.750, 0.750), F at (0.044, 0.193, 0.444), F at (0.087, 0.750, 0.250), F at (0.102, 0.001, 0.836) and F at (0.248, 0.709, 0.931).

For the total energy, the calculation gives -6.553 eV per atom. The calculation puts the volume at 559 Å³ per cell. As for the formation energy without anion corrections: -3218 meV per atom.

=====

[8]
Crystalline KWF2 at its relaxed geometry. Source: Alexandria, functional PBEsol.

The structure belongs to space group R-3m (No. 166, hexagonal axes); the cell edges are 2.9106, 2.9106 and 22.9223 Å and the angles 90.00°, 90.00° and 120.00°. Symmetry generates all atoms from K at (0.0000, 0.0000, 0.0000), W at (0.0000, 0.0000, 0.5000) and F at (0.0000, 0.0000, 0.4110).

For the total energy, the calculation gives -6.165 eV per atom. The calculation puts the volume at 168 Å³ per cell. As for the formation energy without anion corrections: -1466 meV per atom.